1.
Crystalline Sr2LiHo at its relaxed geometry. Source: Alexandria, functional PBE.

Cell: 3.758 3.758 38.782 Å, 90.00 90.00 120.00°
Fractional positions:
Sr  0.000  0.000  0.091
Sr  0.000  0.000  0.909
Sr  0.333  0.667  0.576
Sr  0.333  0.667  0.757
Sr  0.667  0.333  0.243
Sr  0.667  0.333  0.424
Li  0.000  0.000  0.500
Li  0.333  0.667  0.167
Li  0.667  0.333  0.833
Ho  0.000  0.000  0.000
Ho  0.333  0.667  0.667
Ho  0.667  0.333  0.333

Calculated values
- final energy (eV/atom) = -2.10
- ΔE_f (meV per atom) = 364
- excess energy over the best structure of this formula in the dataset (eV per atom) = 0.1944


2.
Crystalline SrLi4Ho at its relaxed geometry. Source: Alexandria, functional PBE.

Cell: 6.136 6.136 6.136 Å, 60.00 60.00 60.00°
Fractional positions:
Sr  0.000  0.000  0.000
Li  0.376  0.376  0.376
Li  0.376  0.376  0.871
Li  0.376  0.871  0.376
Li  0.871  0.376  0.376
Ho  0.750  0.750  0.750

Calculated values
- final energy (eV/atom) = -2.19
- ΔE_f (meV per atom) = 125


3.
Crystalline SrLiHoTe3 at its relaxed geometry. Source: Alexandria, functional PBE.

Cell: 9.154 4.438 9.774 Å, 90.00 103.98 90.00°
Fractional positions:
Sr  0.190  0.250  0.242
Sr  0.810  0.750  0.758
Li  0.085  0.250  0.588
Li  0.915  0.750  0.412
Ho  0.328  0.750  0.838
Ho  0.672  0.250  0.162
Te  0.105  0.250  0.873
Te  0.228  0.750  0.515
Te  0.438  0.750  0.165
Te  0.562  0.250  0.835
Te  0.772  0.250  0.485
Te  0.895  0.750  0.127

Calculated values
- final energy (eV/atom) = -4.35
- E_form (uncorrected) (eV per atom) = -1.4121


4.
Crystalline Sr2LiHoTe4 at its relaxed geometry. Source: Alexandria, functional PBE.

Cell: 7.846 4.553 7.852 Å, 90.00 108.85 90.00°
Fractional positions:
Sr  0.000  0.000  0.000
Sr  0.000  0.500  0.500
Li  0.500  0.000  0.500
Ho  0.500  0.500  0.000
Te  0.274  0.500  0.254
Te  0.276  0.000  0.758
Te  0.724  0.000  0.242
Te  0.726  0.500  0.746

Calculated values
- final energy (eV/atom) = -4.27
- E_form (uncorrected) (eV per atom) = -1.4696


5.
Crystalline Sr4LiHo3Te8 at its relaxed geometry. Source: Alexandria, functional PBE.

Cell: 9.091 9.091 9.091 Å, 59.43 59.43 59.43°
Fractional positions:
Sr  0.000  0.000  0.000
Sr  0.000  0.500  0.500
Sr  0.500  0.000  0.500
Sr  0.500  0.500  0.000
Li  0.500  0.500  0.500
Ho  0.000  0.000  0.500
Ho  0.000  0.500  0.000
Ho  0.500  0.000  0.000
Te  0.243  0.243  0.243
Te  0.243  0.741  0.741
Te  0.259  0.259  0.757
Te  0.259  0.757  0.259
Te  0.741  0.243  0.741
Te  0.741  0.741  0.243
Te  0.757  0.259  0.259
Te  0.757  0.757  0.757

Calculated values
- final energy (eV/atom) = -4.46
- E_form (uncorrected) (eV per atom) = -1.4877


6.
Crystalline SrLi2HoTl4 at its relaxed geometry. Source: Alexandria, functional PBE.

Cell: 9.223 9.223 9.223 Å, 33.27 33.27 33.27°
Fractional positions:
Sr  0.000  0.000  0.000
Li  0.248  0.248  0.248
Li  0.752  0.752  0.752
Ho  0.500  0.500  0.500
Tl  0.128  0.128  0.128
Tl  0.379  0.379  0.379
Tl  0.621  0.621  0.621
Tl  0.872  0.872  0.872

Calculated values
- final energy (eV/atom) = -2.74
- ΔE_f (meV per atom) = -297


What is the final energy in the sixth record? -2.74 eV/atom


What is the final energy in the third record? -4.35 eV/atom